[1]
Computed, not measured: a relaxed structure of PrZn2Cu9 at the GGA-PBE level of DFT.

Lattice parameters (Å, degrees): 10.185 10.185 6.631 90.00 90.00 90.00
Space group I4_1/amd (No. 141, origin choice 2)
Unique sites:
Pr (0.000, 0.250, 0.375) (multiplicity 4)
Zn (0.000, 0.000, 0.000) (multiplicity 8)
Cu (0.000, 0.250, 0.875) (multiplicity 4)
Cu (0.123, 0.042, 0.682) (multiplicity 32)

Output
- offset from the most stable computed form (meV/atom) = 0
- density of states at the Fermi level (states/eV per cell) = 18.74
- formation energy from the elements (eV/f.u.) = -1.35
- raw total energy (eV/f.u.) = -45.54

***

[2]
Computed, not measured: a relaxed structure of K4Eu2UGe4O16 at the GGA-PBE level of DFT.

Lattice parameters (Å, degrees): 7.065 7.076 10.111 99.23 93.84 110.90
Space group P-1 (No. 2)
Unique sites:
K (0.189, 0.331, 0.034) (multiplicity 2)
K (0.244, 0.461, 0.402) (multiplicity 2)
Eu (0.273, 0.023, 0.604) (multiplicity 2)
U (0.500, 0.000, 0.000) (multiplicity 1)
Ge (0.173, 0.877, 0.266) (multiplicity 2)
Ge (0.238, 0.536, 0.739) (multiplicity 2)
O (0.004, 0.609, 0.204) (multiplicity 2)
O (0.070, 0.027, 0.371) (multiplicity 2)
O (0.182, 0.688, 0.634) (multiplicity 2)
O (0.229, 0.961, 0.113) (multiplicity 2)
O (0.349, 0.377, 0.652) (multiplicity 2)
O (0.359, 0.069, 0.861) (multiplicity 2)
O (0.372, 0.879, 0.382) (multiplicity 2)
O (0.386, 0.670, 0.899) (multiplicity 2)

Output
- ΔE_f (raw) (eV/atom) = -2.20
- density of states at the Fermi level (states/eV per cell) = 23.53
- raw total energy (eV/f.u.) = -193.46

***

[3]
Computed, not measured: a relaxed structure of La2Tb5PmSc at the GGA-PBE level of DFT.

Lattice parameters (Å, degrees): 5.632 19.935 10.537 90.00 90.00 90.00
Space group Cmc2_1 (No. 36)
Unique sites:
La (0.000, 0.115, 0.000) (multiplicity 4)
La (0.000, 0.116, 0.420) (multiplicity 4)
Tb (0.000, 0.015, 0.704) (multiplicity 4)
Tb (0.000, 0.277, 0.007) (multiplicity 4)
Tb (0.000, 0.295, 0.389) (multiplicity 4)
Tb (0.000, 0.374, 0.705) (multiplicity 4)
Tb (0.000, 0.484, 0.428) (multiplicity 4)
Pm (0.000, 0.410, 0.149) (multiplicity 4)
Sc (0.000, 0.198, 0.700) (multiplicity 4)

Output
- density of states at the Fermi level (states/eV per cell) = 47.44
- formation energy from the elements (eV/f.u.) = 1.37
- raw total energy (eV/f.u.) = -42.72

***

[4]
Computed, not measured: a relaxed structure of Cr2P2Pt at the GGA-PBE level of DFT.

Lattice parameters (Å, degrees): 3.384 3.384 11.709 90.00 90.00 90.00
Space group I4/mmm (No. 139)
Unique sites:
Cr (0.000, 0.000, 0.112) (multiplicity 4)
P (0.000, 0.500, 0.250) (multiplicity 4)
Pt (0.000, 0.000, 0.500) (multiplicity 2)

Output
- offset from the most stable computed form (meV/atom) = 209
- density of states at the Fermi level (states/eV per cell) = 9.60
- formation energy from the elements (eV/f.u.) = -0.29
- raw total energy (eV/f.u.) = -36.39